i.
{"formula": "MgPOsO2", "functional": "PBE", "state": "relaxed", "lattice_angstrom": [[3.780, 0.000, 0.000], [0.000, 3.780, 0.000], [0.000, 0.000, 5.286]], "species": ["O", "O", "Mg", "P", "Os"], "frac_coords": [[0.000, 0.500, 0.000], [0.500, 0.000, 0.000], [0.500, 0.500, 0.500], [0.000, 0.000, 0.500], [0.000, 0.000, 0.000]]}

***

ii.
{"formula": "MgPOsO2", "functional": "PBE", "state": "relaxed", "lattice_angstrom": [[3.637, 0.000, 0.000], [0.000, 3.637, 0.000], [0.000, 0.000, 5.823]], "species": ["O", "Mg", "Os", "O", "P"], "frac_coords": [[0.000, 0.500, 0.000], [0.000, 0.000, 0.000], [0.500, 0.500, 0.500], [0.500, 0.000, 0.000], [0.000, 0.000, 0.500]]}

***

Result of the stability comparison: ii is the least stable of them.

***

i.
{"formula": "MgP3O", "functional": "PBE", "state": "relaxed", "lattice_angstrom": [[4.746, 0.000, 0.000], [0.000, 4.746, 0.000], [0.000, 0.000, 4.746]], "species": ["P", "P", "P", "O", "Mg"], "frac_coords": [[0.000, 0.500, 0.000], [0.500, 0.000, 0.000], [0.000, 0.000, 0.500], [0.500, 0.500, 0.500], [0.000, 0.000, 0.000]]}

***

ii.
{"formula": "MgP3O", "functional": "PBE", "state": "relaxed", "lattice_angstrom": [[-2.413, 1.334, -3.176], [-3.339, 0.048, 2.556], [0.847, 3.988, 1.031]], "species": ["P", "O", "Mg", "P", "P"], "frac_coords": [[0.000, 0.000, 0.500], [0.000, 0.000, 0.000], [0.500, 0.500, 0.500], [0.500, 0.000, 0.000], [0.000, 0.500, 0.000]]}

***

Result of the stability comparison: i is the least stable of them.

***

i.
{"formula": "MgPO2", "functional": "PBE", "state": "relaxed", "lattice_angstrom": [[-4.051, -1.276, -0.946], [-0.890, -0.322, 4.247], [-4.140, 4.467, 1.699]], "species": ["O", "O", "Mg", "P", "P", "O", "Mg", "O"], "frac_coords": [[0.875, 0.878, 0.750], [0.628, 0.125, 0.250], [0.500, 0.500, 0.000], [0.750, 0.250, 0.500], [0.000, 0.000, 0.000], [0.375, 0.372, 0.750], [0.250, 0.750, 0.500], [0.122, 0.625, 0.250]]}

***

ii.
{"formula": "MgPO2", "functional": "PBE", "state": "relaxed", "lattice_angstrom": [[-3.946, -2.313, 3.715], [-1.540, -1.914, 5.356], [-3.353, 0.340, 4.834]], "species": ["O", "O", "Mg", "P"], "frac_coords": [[0.100, 0.100, 0.100], [0.900, 0.900, 0.900], [0.500, 0.500, 0.500], [0.000, 0.000, 0.000]]}

***

Result of the stability comparison: i is the least stable of them.

***

i.
{"formula": "MgPO2", "functional": "PBE", "state": "relaxed", "lattice_angstrom": [[-0.574, 1.677, 6.097], [1.506, -0.656, 6.134], [2.425, 2.245, 5.422]], "species": ["Mg", "O", "P", "O"], "frac_coords": [[0.000, 0.000, 0.000], [0.109, 0.109, 0.109], [0.500, 0.500, 0.500], [0.891, 0.891, 0.891]]}

***

ii.
{"formula": "MgPO2", "functional": "PBE", "state": "relaxed", "lattice_angstrom": [[0.000, 2.769, 2.769], [2.769, 0.000, 2.769], [2.769, 2.769, 0.000]], "species": ["O", "O", "P", "Mg"], "frac_coords": [[0.750, 0.750, 0.750], [0.250, 0.250, 0.250], [0.500, 0.500, 0.500], [0.000, 0.000, 0.000]]}

***

Result of the stability comparison: ii is the least stable of them.

***

i.
{"formula": "Mg2PO", "functional": "PBE", "state": "relaxed", "lattice_angstrom": [[5.648, 0.000, 0.000], [0.000, 5.648, 0.000], [2.824, 2.824, 4.276]], "species": ["Mg", "P", "Mg", "O", "O", "Mg", "Mg", "P"], "frac_coords": [[0.375, 0.463, 0.750], [0.000, 0.000, 0.000], [0.875, 0.787, 0.750], [0.500, 0.500, 0.000], [0.250, 0.750, 0.500], [0.213, 0.625, 0.250], [0.537, 0.125, 0.250], [0.750, 0.250, 0.500]]}

***

ii.
{"formula": "Mg2PO", "functional": "PBE", "state": "relaxed", "lattice_angstrom": [[0.000, 3.066, 3.066], [3.066, 0.000, 3.066], [3.066, 3.066, 0.000]], "species": ["P", "O", "Mg", "Mg"], "frac_coords": [[0.500, 0.500, 0.500], [0.000, 0.000, 0.000], [0.750, 0.750, 0.750], [0.250, 0.250, 0.250]]}

***

Result of the stability comparison: ii is the least stable of them.

***

i.
{"formula": "MgPPdO2", "functional": "PBE", "state": "relaxed", "lattice_angstrom": [[3.927, 0.000, 0.000], [0.000, 3.927, 0.000], [0.000, 0.000, 4.987]], "species": ["O", "Mg", "Pd", "P", "O"], "frac_coords": [[0.000, 0.500, 0.000], [0.500, 0.500, 0.500], [0.000, 0.000, 0.000], [0.000, 0.000, 0.500], [0.500, 0.000, 0.000]]}

***

ii.
{"formula": "MgPPdO2", "functional": "PBE", "state": "relaxed", "lattice_angstrom": [[3.724, 0.000, 0.000], [0.000, 3.724, 0.000], [0.000, 0.000, 5.652]], "species": ["Pd", "O", "Mg", "P", "O"], "frac_coords": [[0.500, 0.500, 0.500], [0.000, 0.500, 0.000], [0.000, 0.000, 0.000], [0.000, 0.000, 0.500], [0.500, 0.000, 0.000]]}

***

Result of the stability comparison: i is the least stable of them.